Computed, not measured: LiTaPb2 after structural relaxation at the PBE-GGA level of DFT.

Lattice parameters (Å, degrees): 5.8225 5.8225 5.1249 102.97 102.97 31.56
Last column: nearest neighbours and their distance in Å.
Fractional coordinates of all 4 atoms:
Li 0.0000 0.0000 0.0000  7 Pb 2.90-3.20, 2 Li 3.17
Ta 0.7453 0.7453 0.4083  7 Pb 2.99-3.08, 2 Ta 3.17
Pb 0.2456 0.2456 0.9077  3 Li 2.90-3.20, 4 Ta 3.01-3.02, 2 Pb 3.17
Pb 0.4865 0.4865 0.4692  4 Li 2.91-3.12, 3 Ta 2.99-3.08, 2 Pb 3.17

Spin magnetization ... 0.000 μB/cell
Formation enthalpy at 0 K ... 0.2893 eV/atom